[1]
## TlGePd (PBE-GGA)

Data for a geometry-optimized TlGePd structure.

Unit cell a=12.463 b=3.398 c=5.903 alpha=90.00 beta=90.00 gamma=90.00
Sites, in units of the cell vectors:
Tl: 0.167 0.000 0.000
Tl: 0.167 0.500 0.500
Tl: 0.833 0.000 0.000
Tl: 0.833 0.500 0.500
Ge: 0.364 0.000 0.662
Ge: 0.364 0.500 0.162
Ge: 0.636 0.000 0.662
Ge: 0.636 0.500 0.162
Pd: 0.000 0.000 0.333
Pd: 0.000 0.500 0.833
Pd: 0.500 0.000 0.329
Pd: 0.500 0.500 0.829

Energy above the lowest structure with this stoichiometry: 0.062 eV/atom
Magnetization: 0.00 μB/f.u.
Formation enthalpy at 0 K: -0.02 eV per atom
E_tot: -48.93 eV for the cell shown
Fermi-level density of states: 7.64 states/eV per cell
Symmetry: Amm2

[2]
## TlGe2Pd (PBE-GGA)

Data for a geometry-optimized TlGe2Pd structure.

Unit cell a=6.849 b=6.849 c=6.849 alpha=90.00 beta=90.00 gamma=90.00
Sites, in units of the cell vectors:
Tl: 0.000 0.000 0.000
Tl: 0.000 0.500 0.500
Tl: 0.500 0.000 0.500
Tl: 0.500 0.500 0.000
Ge: 0.250 0.250 0.250
Ge: 0.250 0.250 0.750
Ge: 0.250 0.750 0.250
Ge: 0.250 0.750 0.750
Ge: 0.750 0.250 0.250
Ge: 0.750 0.250 0.750
Ge: 0.750 0.750 0.250
Ge: 0.750 0.750 0.750
Pd: 0.000 0.000 0.500
Pd: 0.000 0.500 0.000
Pd: 0.500 0.000 0.000
Pd: 0.500 0.500 0.500

Energy above the lowest structure with this stoichiometry: 0.171 eV/atom
Magnetization: 0.00 μB/f.u.
Formation enthalpy at 0 K: 0.18 eV per atom
E_tot: -64.31 eV for the cell shown
Fermi-level density of states: 10.54 states/eV per cell
Symmetry: Fm-3m

[3]
## Tl3GePd (PBE-GGA)

Data for a geometry-optimized Tl3GePd structure.

Unit cell a=5.320 b=5.320 c=5.320 alpha=90.00 beta=90.00 gamma=90.00
Sites, in units of the cell vectors:
Tl: 0.000 0.000 0.500
Tl: 0.000 0.500 0.000
Tl: 0.500 0.000 0.000
Ge: 0.500 0.500 0.500
Pd: 0.000 0.000 0.000

Energy above the lowest structure with this stoichiometry: 0.000 eV/atom
Magnetization: 0.00 μB/f.u.
Formation enthalpy at 0 K: 0.30 eV per atom
E_tot: -15.43 eV for the cell shown
Fermi-level density of states: 3.85 states/eV per cell
Symmetry: Pm-3m

[4]
## TlGe2Pd (PBE-GGA)

Data for a geometry-optimized TlGe2Pd structure.

Unit cell a=4.589 b=4.589 c=17.090 alpha=90.00 beta=90.00 gamma=90.00
Sites, in units of the cell vectors:
Tl: 0.000 0.000 0.000
Tl: 0.000 0.500 0.250
Tl: 0.500 0.000 0.750
Tl: 0.500 0.500 0.500
Ge: 0.155 0.250 0.625
Ge: 0.250 0.655 0.875
Ge: 0.250 0.845 0.375
Ge: 0.345 0.250 0.125
Ge: 0.655 0.750 0.125
Ge: 0.750 0.155 0.375
Ge: 0.750 0.345 0.875
Ge: 0.845 0.750 0.625
Pd: 0.000 0.000 0.500
Pd: 0.000 0.500 0.750
Pd: 0.500 0.000 0.250
Pd: 0.500 0.500 0.000

Energy above the lowest structure with this stoichiometry: 0.080 eV/atom
Magnetization: 0.00 μB/f.u.
Formation enthalpy at 0 K: 0.09 eV per atom
E_tot: -65.77 eV for the cell shown
Fermi-level density of states: 10.68 states/eV per cell
Symmetry: I-42d